1.
# Tb3PrSm2Te6

Crystalline Tb3PrSm2Te6 at its relaxed geometry (PBE, Alexandria).

Summary:
* space-group type: C2/m, No. 12
* total magnetic moment: 0.00 μB per formula unit
* formation energy from raw total energies: -1.358 eV/atom
* DFT total energy: -63.25 eV/f.u.

a b c (Å): 9.906 9.906 8.913
angles (deg): 103.50 103.50 25.62
Atoms (fractional coordinates):
Tb  0.000  0.000  0.000
Tb  0.336  0.336  0.667
Tb  0.664  0.664  0.333
Pr  0.000  0.000  0.500
Sm  0.334  0.334  0.169
Sm  0.666  0.666  0.831
Te  0.166  0.166  0.086
Te  0.171  0.171  0.581
Te  0.499  0.499  0.758
Te  0.501  0.501  0.242
Te  0.829  0.829  0.419
Te  0.834  0.834  0.914


2.
# Na2SrCeO4

Crystalline Na2SrCeO4 at its relaxed geometry (PBE, Alexandria).

Summary:
* space-group type: P2/m, No. 10
* total magnetic moment: 0.00 μB per formula unit
* formation energy from raw total energies: -2.519 eV/atom
* DFT total energy: -50.24 eV/f.u.

a b c (Å): 5.957 3.596 6.235
angles (deg): 90.00 110.61 90.00
Atoms (fractional coordinates):
Na  0.000  0.000  0.000
Na  0.000  0.500  0.500
Sr  0.500  0.000  0.500
Ce  0.500  0.500  0.000
O  0.281  0.000  0.779
O  0.288  0.500  0.225
O  0.712  0.500  0.775
O  0.719  0.000  0.221


3.
# PrGa8Rh4

Crystalline PrGa8Rh4 at its relaxed geometry (PBE, Alexandria).

Summary:
* DFT formation energy: -0.2199 eV/atom
* space-group type: R-3m, No. 166
* total magnetic moment: 0.00 μB per formula unit
* DFT total energy: -61.26 eV/f.u.

a b c (Å): 9.114 9.114 9.114
angles (deg): 38.45 38.45 38.45
Atoms (fractional coordinates):
Pr  0.000  0.000  0.000
Ga  0.261  0.261  0.261
Ga  0.262  0.730  0.730
Ga  0.270  0.270  0.738
Ga  0.270  0.738  0.270
Ga  0.730  0.262  0.730
Ga  0.730  0.730  0.262
Ga  0.738  0.270  0.270
Ga  0.739  0.739  0.739
Rh  0.000  0.500  0.500
Rh  0.500  0.000  0.500
Rh  0.500  0.500  0.000
Rh  0.500  0.500  0.500


4.
# MnRe2P

Crystalline MnRe2P at its relaxed geometry (PBE, Alexandria).

Summary:
* DFT formation energy: 0.0073 eV/atom
* space-group type: Immm, No. 71
* total magnetic moment: 1.77 μB per formula unit
* DFT total energy: -39.45 eV/f.u.

a b c (Å): 5.129 5.129 5.129
angles (deg): 147.22 130.62 60.54
Atoms (fractional coordinates):
Mn  0.000  0.000  0.000
Re  0.288  0.788  0.500
Re  0.712  0.212  0.500
P  0.500  0.500  0.000


5.
# Ac2Co3B12Ir

Crystalline Ac2Co3B12Ir at its relaxed geometry (PBE, Alexandria).

Summary:
* DFT formation energy: 0.0707 eV/atom
* space-group type: R-3m, No. 166
* total magnetic moment: 2.08 μB per formula unit
* DFT total energy: -117.25 eV/f.u.

a b c (Å): 7.729 7.729 7.729
angles (deg): 46.33 46.33 46.33
Atoms (fractional coordinates):
Ac  0.121  0.121  0.121
Ac  0.879  0.879  0.879
Co  0.000  0.500  0.500
Co  0.500  0.000  0.500
Co  0.500  0.500  0.000
B  0.120  0.589  0.589
B  0.169  0.169  0.456
B  0.169  0.456  0.169
B  0.411  0.411  0.880
B  0.411  0.880  0.411
B  0.456  0.169  0.169
B  0.544  0.831  0.831
B  0.589  0.120  0.589
B  0.589  0.589  0.120
B  0.831  0.544  0.831
B  0.831  0.831  0.544
B  0.880  0.411  0.411
Ir  0.500  0.500  0.500


6.
# Ac7Sn3Ir2

Crystalline Ac7Sn3Ir2 at its relaxed geometry (PBE, Alexandria).

Summary:
* DFT formation energy: -0.4754 eV/atom
* space-group type: Cmmm, No. 65
* total magnetic moment: 0.00 μB per formula unit
* DFT total energy: -64.19 eV/f.u.

a b c (Å): 14.169 14.169 5.587
angles (deg): 90.00 90.00 156.39
Atoms (fractional coordinates):
Ac  0.000  0.000  0.000
Ac  0.097  0.903  0.500
Ac  0.213  0.787  0.000
Ac  0.390  0.610  0.000
Ac  0.610  0.390  0.000
Ac  0.787  0.213  0.000
Ac  0.903  0.097  0.500
Sn  0.308  0.692  0.500
Sn  0.500  0.500  0.500
Sn  0.692  0.308  0.500
Ir  0.107  0.893  0.000
Ir  0.893  0.107  0.000


7.
# Dy3NbRu4

Crystalline Dy3NbRu4 at its relaxed geometry (PBE, Alexandria).

Summary:
* DFT formation energy: -0.3436 eV/atom
* space-group type: P4/mmm, No. 123
* total magnetic moment: 0.00 μB per formula unit
* DFT total energy: -63.73 eV/f.u.

a b c (Å): 3.314 3.314 13.599
angles (deg): 90.00 90.00 90.00
Atoms (fractional coordinates):
Dy  0.000  0.000  0.000
Dy  0.000  0.000  0.251
Dy  0.000  0.000  0.749
Nb  0.000  0.000  0.500
Ru  0.500  0.500  0.129
Ru  0.500  0.500  0.392
Ru  0.500  0.500  0.608
Ru  0.500  0.500  0.871


8.
# TmHfPd5

Crystalline TmHfPd5 at its relaxed geometry (PBE, Alexandria).

Summary:
* DFT formation energy: -0.6973 eV/atom
* space-group type: P4/mmm, No. 123
* total magnetic moment: 0.00 μB per formula unit
* DFT total energy: -45.27 eV/f.u.

a b c (Å): 4.052 4.052 7.837
angles (deg): 90.00 90.00 90.00
Atoms (fractional coordinates):
Tm  0.000  0.000  0.000
Hf  0.500  0.500  0.500
Pd  0.000  0.500  0.273
Pd  0.000  0.500  0.727
Pd  0.500  0.000  0.273
Pd  0.500  0.000  0.727
Pd  0.500  0.500  0.000


Repeat the second record exactly.
# Na2SrCeO4

Crystalline Na2SrCeO4 at its relaxed geometry (PBE, Alexandria).

Summary:
* space-group type: P2/m, No. 10
* total magnetic moment: 0.00 μB per formula unit
* formation energy from raw total energies: -2.519 eV/atom
* DFT total energy: -50.24 eV/f.u.

a b c (Å): 5.957 3.596 6.235
angles (deg): 90.00 110.61 90.00
Atoms (fractional coordinates):
Na  0.000  0.000  0.000
Na  0.000  0.500  0.500
Sr  0.500  0.000  0.500
Ce  0.500  0.500  0.000
O  0.281  0.000  0.779
O  0.288  0.500  0.225
O  0.712  0.500  0.775
O  0.719  0.000  0.221